Entry 1:
Sr2TaMo (PBE-GGA, optimized geometry); DOS(E_F) = 7.09 states/eV/f.u.; E = -5.19 eV/atom; offset from the most stable computed form = 81.6 kJ per mole of atoms; crystal system = trigonal; energy of formation from the pure elements = 5.3 eV/f.u.
1.0
-4.7976 6.4296 8.2034
-7.0881 6.7113 6.0307
-7.0639 4.2235 7.9946
Ta Mo Sr
1 1 2
Direct
0.7500 0.7500 0.7500
0.2500 0.2500 0.2500
0.9970 0.9970 0.9970
0.5030 0.5030 0.5030

***

Entry 2:
Nd6Ho3In (PBE-GGA, optimized geometry); DOS(E_F) = 13.38 states/eV/f.u.; E = -4.52 eV/atom; offset from the most stable computed form = 0.0 kJ per mole of atoms; crystal system = monoclinic; energy of formation from the pure elements = -0.1 eV/f.u.
1.0
3.5548 0.0000 0.0000
0.0000 12.9600 0.8049
0.0000 -3.5456 14.0648
In Nd Ho
2 12 6
Direct
0.2500 0.9687 0.2706
0.7500 0.0313 0.7294
0.7500 0.7528 0.3031
0.2500 0.2316 0.2861
0.2500 0.1879 0.9250
0.7500 0.8121 0.0750
0.7500 0.4900 0.6910
0.7500 0.1114 0.4636
0.7500 0.7684 0.7139
0.2500 0.6581 0.8844
0.2500 0.8886 0.5364
0.2500 0.5100 0.3090
0.7500 0.3419 0.1156
0.2500 0.2472 0.6969
0.7500 0.0714 0.1065
0.2500 0.5794 0.0966
0.2500 0.9286 0.8935
0.7500 0.4206 0.9034
0.2500 0.3706 0.4992
0.7500 0.6294 0.5008

***

Entry 3:
MgCr2Br (PBE-GGA, optimized geometry); DOS(E_F) = 1.82 states/eV/f.u.; E = -5.29 eV/atom; offset from the most stable computed form = 14.8 kJ per mole of atoms; crystal system = monoclinic; uncorrected formation energy = 337 meV per atom
1.0
-3.0154 -2.4994 -1.4974
-0.3866 -4.1024 -0.7764
-3.6152 -3.4667 5.4738
Mg Cr Br
1 2 1
Direct
0.5279 0.5279 0.5371
0.7169 0.7169 0.7908
0.9407 0.9407 0.9223
0.3144 0.3144 0.2499

***

Entry 4:
Y2I2F (PBE-GGA, optimized geometry); DOS(E_F) = 4.35 states/eV/f.u.; E = -4.39 eV/atom; offset from the most stable computed form = 17.9 kJ per mole of atoms; crystal system = tetragonal; uncorrected formation energy = -814 meV per atom
1.0
5.3447 0.0000 0.0000
0.0000 5.3447 0.0000
2.6724 2.6724 6.0860
I Y F
2 2 1
Direct
0.3575 0.3575 0.2850
0.6425 0.6425 0.7150
0.2500 0.7500 0.5000
0.7500 0.2500 0.5000
0.0000 0.0000 0.0000

***

Entry 5:
TbHoIrO6 (PBE-GGA, optimized geometry); DOS(E_F) = 3.31 states/eV/f.u.; E = -7.53 eV/atom; crystal system = trigonal; uncorrected formation energy = -2213 meV per atom
1.0
5.4776 0.0000 0.0000
-2.7388 4.7437 0.0000
0.0000 0.0000 9.6083
O Ho Tb Ir
12 2 2 2
Direct
0.3687 0.0400 0.1349
0.6313 0.6713 0.6349
0.3287 0.9600 0.6349
0.0400 0.3687 0.6349
0.3687 0.3287 0.3651
0.6313 0.9600 0.8651
0.0400 0.6713 0.8651
0.6713 0.6313 0.1349
0.9600 0.3287 0.1349
0.3287 0.3687 0.8651
0.6713 0.0400 0.3651
0.9600 0.6313 0.3651
0.3333 0.6667 0.2500
0.6667 0.3333 0.7500
0.0000 0.0000 0.5000
0.0000 0.0000 0.0000
0.6667 0.3333 0.2500
0.3333 0.6667 0.7500

***

Entry 6:
Ho12Tl6Os (PBE-GGA, optimized geometry); DOS(E_F) = 16.63 states/eV/f.u.; E = -4.36 eV/atom; crystal system = trigonal; energy of formation from the pure elements = -2.5 eV/f.u.
1.0
8.2823 0.3442 0.4123
-0.9155 8.2388 0.4123
-0.9155 -1.0666 8.1799
Ho Tl Os
12 6 1
Direct
0.2057 0.4274 0.5462
0.0916 0.3135 0.9727
0.6865 0.0273 0.9084
0.7943 0.5726 0.4538
0.3135 0.9727 0.0916
0.9084 0.6865 0.0273
0.0273 0.9084 0.6865
0.9727 0.0916 0.3135
0.4274 0.5462 0.2057
0.5726 0.4538 0.7943
0.5462 0.2057 0.4274
0.4538 0.7943 0.5726
0.1334 0.7277 0.3489
0.2723 0.6511 0.8666
0.8666 0.2723 0.6511
0.3489 0.1334 0.7277
0.6511 0.8666 0.2723
0.7277 0.3489 0.1334
0.0000 0.0000 0.0000

***

Entry 7:
Cu2ReSe (PBE-GGA, optimized geometry); DOS(E_F) = 2.30 states/eV/f.u.; E = -5.59 eV/atom; crystal system = orthorhombic; uncorrected formation energy = 440 meV per atom
1.0
-2.1836 1.5475 -0.3093
-0.7098 -2.3658 -1.0758
-2.9109 -2.5867 7.6087
Cu Re Se
2 1 1
Direct
0.0000 0.0000 0.4849
0.0000 0.0000 0.0151
0.5000 0.5000 0.2500
0.5000 0.5000 0.7500

***

Entry 8:
K2Cd2Te2Se (PBE-GGA, optimized geometry); E = -2.76 eV/atom; crystal system = monoclinic; uncorrected formation energy = -792 meV per atom
1.0
4.6252 0.0007 -0.0011
2.3117 7.6677 1.2645
-0.0015 3.4971 7.7249
Te Cd K Se
2 2 2 1
Direct
0.1854 0.6290 0.6494
0.8146 0.3710 0.3506
0.1907 0.6185 0.3063
0.8093 0.3815 0.6937
0.5659 0.8676 0.8176
0.4341 0.1324 0.1824
0.0000 0.0000 0.0000

***

Q: Among the records above, which one has the highest E?
A: K2Cd2Te2Se